A.
PBE LiV3Sn, relaxed; density of states at the Fermi level = 10.9 states/eV per cell; space-group type = No. 221
1.0
5.169 0.000 0.000
0.000 5.169 0.000
0.000 0.000 5.169
Li V Sn
1 3 1
direct
0.000 0.000 0.000
0.000 0.500 0.500
0.500 0.000 0.500
0.500 0.500 0.000
0.500 0.500 0.500

B.
PBE LiV3Sn, relaxed; density of states at the Fermi level = 2.7 states/eV per cell; space-group type = No. 221
1.0
4.219 0.000 0.000
0.000 4.219 0.000
0.000 0.000 4.219
Li V Sn
1 3 1
direct
0.000 0.000 0.000
0.000 0.000 0.500
0.000 0.500 0.000
0.500 0.000 0.000
0.500 0.500 0.500

Which of them is the most stable? Correct choice: B.

A.
PBE LiVSn3, relaxed; density of states at the Fermi level = 5.3 states/eV per cell; space-group type = No. 221
1.0
4.924 0.000 0.000
0.000 4.924 0.000
0.000 0.000 4.924
Li V Sn
1 1 3
direct
0.000 0.000 0.000
0.500 0.500 0.500
0.000 0.000 0.500
0.000 0.500 0.000
0.500 0.000 0.000

B.
PBE LiVSn3, relaxed; density of states at the Fermi level = 2.3 states/eV per cell; space-group type = No. 221
1.0
5.154 0.000 0.000
0.000 5.154 0.000
0.000 0.000 5.154
Li V Sn
1 1 3
direct
0.000 0.000 0.000
0.500 0.500 0.500
0.000 0.500 0.500
0.500 0.000 0.500
0.500 0.500 0.000

Which of them is the most stable? Correct choice: B.

A.
PBE Li3YSn, relaxed; density of states at the Fermi level = 15.3 states/eV per cell; space-group type = No. 221
1.0
5.301 0.000 0.000
0.000 5.301 0.000
0.000 0.000 5.301
Li Y Sn
3 1 1
direct
0.000 0.000 0.500
0.000 0.500 0.000
0.500 0.000 0.000
0.000 0.000 0.000
0.500 0.500 0.500

B.
PBE Li3YSn, relaxed; density of states at the Fermi level = 3.0 states/eV per cell; space-group type = No. 221
1.0
4.922 0.000 0.000
0.000 4.922 0.000
0.000 0.000 4.922
Li Y Sn
3 1 1
direct
0.000 0.000 0.500
0.000 0.500 0.000
0.500 0.000 0.000
0.500 0.500 0.500
0.000 0.000 0.000

Which of them is the most stable? Correct choice: B.

A.
PBE Li6YSn6, relaxed; density of states at the Fermi level = 4.3 states/eV per cell; space-group type = No. 191
1.0
5.804 0.000 0.000
-2.902 5.026 0.000
0.000 0.000 9.315
Li Y Sn
6 1 6
direct
0.000 0.500 0.246
0.000 0.500 0.754
0.500 0.000 0.246
0.500 0.000 0.754
0.500 0.500 0.246
0.500 0.500 0.754
0.000 0.000 0.000
0.000 0.000 0.347
0.000 0.000 0.653
0.333 0.667 0.000
0.333 0.667 0.500
0.667 0.333 0.000
0.667 0.333 0.500

B.
PBE Li6YSn6, relaxed; density of states at the Fermi level = 5.1 states/eV per cell; space-group type = No. 71
1.0
-2.867 4.712 4.986
2.867 -4.712 4.986
2.867 4.712 -4.986
Li Y Sn
6 1 6
direct
0.000 0.000 0.500
0.000 0.500 0.000
0.249 0.000 0.249
0.500 0.000 0.000
0.500 0.500 0.500
0.751 0.000 0.751
0.500 0.500 0.000
0.154 0.500 0.654
0.167 0.167 0.000
0.338 0.838 0.500
0.662 0.162 0.500
0.833 0.833 0.000
0.846 0.500 0.346

Which of them is the most stable? Correct choice: B.

A.
PBE Li2YSn2, relaxed; density of states at the Fermi level = 1.8 states/eV per cell; space-group type = No. 12
1.0
3.951 -2.290 0.000
3.951 2.290 0.000
-2.614 0.000 6.358
Li Y Sn
2 1 2
direct
0.187 0.187 0.062
0.813 0.813 0.938
0.000 0.000 0.500
0.424 0.424 0.772
0.576 0.576 0.228

B.
PBE Li2YSn2, relaxed; density of states at the Fermi level = 6.4 states/eV per cell; space-group type = No. 127
1.0
8.192 0.000 0.000
0.000 8.192 0.000
0.000 0.000 3.449
Li Y Sn
4 2 4
direct
0.165 0.335 0.000
0.335 0.835 0.000
0.665 0.165 0.000
0.835 0.665 0.000
0.000 0.000 0.500
0.500 0.500 0.500
0.131 0.631 0.500
0.369 0.131 0.500
0.631 0.869 0.500
0.869 0.369 0.500

Which of them is the most stable? Correct choice: A.

A.
PBE Li2YSn2, relaxed; density of states at the Fermi level = 1.4 states/eV per cell; space-group type = No. 139
1.0
-2.129 2.129 6.273
2.129 -2.129 6.273
2.129 2.129 -6.273
Li Y Sn
2 1 2
direct
0.250 0.750 0.500
0.750 0.250 0.500
0.000 0.000 0.000
0.388 0.388 0.000
0.612 0.612 0.000

B.
PBE Li2YSn2, relaxed; density of states at the Fermi level = 4.6 states/eV per cell; space-group type = No. 127
1.0
8.195 0.000 0.000
0.000 8.195 0.000
0.000 0.000 3.220
Li Y Sn
4 2 4
direct
0.114 0.386 0.000
0.386 0.886 0.000
0.614 0.114 0.000
0.886 0.614 0.000
0.000 0.000 0.000
0.500 0.500 0.000
0.179 0.679 0.500
0.321 0.179 0.500
0.679 0.821 0.500
0.821 0.321 0.500

Which of them is the most stable? Correct choice: A.

A.
PBE Li3ZnSn3, relaxed; density of states at the Fermi level = 2.7 states/eV per cell; space-group type = No. 12
1.0
4.854 -4.698 0.000
4.854 4.698 0.000
-0.006 0.000 6.693
Li Zn Sn
6 2 6
direct
0.198 0.802 0.000
0.239 0.239 0.498
0.249 0.751 0.500
0.751 0.249 0.500
0.761 0.761 0.502
0.802 0.198 0.000
0.224 0.224 0.002
0.776 0.776 0.998
0.001 0.499 0.754
0.499 0.001 0.754
0.499 0.499 0.773
0.501 0.501 0.227
0.501 0.999 0.246
0.999 0.501 0.246

B.
PBE Li3ZnSn3, relaxed; density of states at the Fermi level = 4.4 states/eV per cell; space-group type = No. 12
1.0
3.912 -6.084 0.000
3.912 6.084 0.000
-0.902 0.000 6.815
Li Zn Sn
6 2 6
direct
0.109 0.891 0.000
0.224 0.776 0.500
0.414 0.414 0.153
0.586 0.586 0.847
0.776 0.224 0.500
0.891 0.109 0.000
0.211 0.211 0.766
0.789 0.789 0.234
0.136 0.136 0.363
0.138 0.543 0.843
0.457 0.862 0.157
0.543 0.138 0.843
0.862 0.457 0.157
0.864 0.864 0.637

Which of them is the most stable? Correct choice: A.

A.
PBE Li3ZnSn, relaxed; density of states at the Fermi level = 3.2 states/eV per cell; space-group type = No. 11
1.0
5.103 0.000 0.000
0.000 5.069 0.000
-1.819 0.000 6.960
Li Zn Sn
6 2 2
direct
0.000 0.000 0.000
0.000 0.500 0.000
0.326 0.250 0.449
0.484 0.250 0.868
0.516 0.750 0.132
0.674 0.750 0.551
0.079 0.750 0.340
0.921 0.250 0.660
0.253 0.750 0.736
0.747 0.250 0.264

B.
PBE Li3ZnSn, relaxed; density of states at the Fermi level = 1.8 states/eV per cell; space-group type = No. 221
1.0
4.708 0.000 0.000
0.000 4.708 0.000
0.000 0.000 4.708
Li Zn Sn
3 1 1
direct
0.000 0.000 0.500
0.000 0.500 0.000
0.500 0.000 0.000
0.000 0.000 0.000
0.500 0.500 0.500

Which of them is the most stable? Correct choice: A.

A.
PBE Li3ZnSn, relaxed; density of states at the Fermi level = 2.9 states/eV per cell; space-group type = No. 2
1.0
4.798 0.000 0.000
0.167 5.736 0.000
2.337 0.327 6.449
Li Zn Sn
6 2 2
direct
0.111 0.470 0.274
0.120 0.978 0.269
0.310 0.250 0.877
0.690 0.750 0.123
0.880 0.022 0.731
0.889 0.530 0.726
0.500 0.000 0.500
0.500 0.500 0.500
0.317 0.750 0.864
0.683 0.250 0.136

B.
PBE Li3ZnSn, relaxed; density of states at the Fermi level = 4.2 states/eV per cell; space-group type = No. 221
1.0
5.186 0.000 0.000
0.000 5.186 0.000
0.000 0.000 5.186
Li Zn Sn
3 1 1
direct
0.000 0.000 0.500
0.000 0.500 0.000
0.500 0.000 0.000
0.500 0.500 0.500
0.000 0.000 0.000

Which of them is the most stable? Correct choice: A.

A.
PBE Li4ZnSn, relaxed; density of states at the Fermi level = 1.7 states/eV per cell; space-group type = No. 36
1.0
2.251 -6.873 0.000
2.251 6.873 0.000
0.000 0.000 6.618
Li Zn Sn
8 2 2
direct
0.012 0.988 0.500
0.190 0.810 0.265
0.336 0.664 0.552
0.480 0.520 0.266
0.520 0.480 0.766
0.664 0.336 0.052
0.810 0.190 0.765
0.988 0.012 0.000
0.348 0.652 0.985
0.652 0.348 0.485
0.163 0.837 0.779
0.837 0.163 0.279

B.
PBE Li4ZnSn, relaxed; density of states at the Fermi level = 3.1 states/eV per cell; space-group type = No. 63
1.0
2.747 -7.899 0.000
2.747 7.899 0.000
0.000 0.000 4.616
Li Zn Sn
8 2 2
direct
0.043 0.458 0.250
0.204 0.288 0.250
0.288 0.204 0.750
0.458 0.043 0.750
0.542 0.957 0.250
0.712 0.796 0.250
0.796 0.712 0.750
0.957 0.542 0.750
0.384 0.616 0.750
0.616 0.384 0.250
0.129 0.871 0.250
0.871 0.129 0.750

Which of them is the most stable? Correct choice: B.

A.
PBE LiZn2Sn2, relaxed; density of states at the Fermi level = 3.7 states/eV per cell; space-group type = No. 127
1.0
7.251 0.000 0.000
0.000 7.251 0.000
0.000 0.000 3.998
Li Zn Sn
2 4 4
direct
0.000 0.000 0.000
0.500 0.500 0.000
0.124 0.376 0.000
0.376 0.876 0.000
0.624 0.124 0.000
0.876 0.624 0.000
0.181 0.681 0.500
0.319 0.181 0.500
0.681 0.819 0.500
0.819 0.319 0.500

B.
PBE LiZn2Sn2, relaxed; density of states at the Fermi level = 2.0 states/eV per cell; space-group type = No. 127
1.0
7.963 0.000 0.000
0.000 7.963 0.000
0.000 0.000 3.478
Li Zn Sn
2 4 4
direct
0.000 0.000 0.000
0.500 0.500 0.000
0.127 0.373 0.500
0.373 0.873 0.500
0.627 0.127 0.500
0.873 0.627 0.500
0.173 0.673 0.000
0.327 0.173 0.000
0.673 0.827 0.000
0.827 0.327 0.000

C.
PBE LiZn2Sn2, relaxed; density of states at the Fermi level = 1.4 states/eV per cell; space-group type = No. 139
1.0
-2.191 2.191 6.123
2.191 -2.191 6.123
2.191 2.191 -6.123
Li Zn Sn
1 2 2
direct
0.000 0.000 0.000
0.402 0.402 0.000
0.598 0.598 0.000
0.250 0.750 0.500
0.750 0.250 0.500

D.
PBE LiZn2Sn2, relaxed; density of states at the Fermi level = 1.2 states/eV per cell; space-group type = No. 139
1.0
-2.196 2.196 6.049
2.196 -2.196 6.049
2.196 2.196 -6.049
Li Zn Sn
1 2 2
direct
0.000 0.000 0.000
0.250 0.750 0.500
0.750 0.250 0.500
0.384 0.384 0.000
0.616 0.616 0.000

Which of them is the most stable? Correct choice: A.